(1)
A plane-wave DFT calculation with GGA-PBE was carried out for crystalline La2CdAs at its relaxed geometry.

Computed properties:
The formation enthalpy at 0 K is -808 meV/atom. As for the crystal system: monoclinic. The distance to the lowest polymorph of the same formula comes out at 0.030 eV/atom. The calculated total energy is -4.66 eV/atom.

Geometry as CIF:
```
data_La2CdAs
_chemical_formula_sum 'La2 Cd1 As1'
_space_group_name_H-M_alt 'P 1 2/m 1'
_space_group_IT_number 10
_cell_length_a 3.912
_cell_length_b 3.910
_cell_length_c 7.305
_cell_angle_alpha 90.00
_cell_angle_beta 90.19
_cell_angle_gamma 90.00
loop_
_space_group_symop_operation_xyz
'x,y,z'
'-x,-y,-z'
'-x,y,-z'
'x,-y,z'
loop_
_atom_site_label
_atom_site_fract_x
_atom_site_fract_y
_atom_site_fract_z
La1 0.003 0.000 0.275
Cd1 0.500 0.500 0.000
As1 0.500 0.500 0.500
```

---

(2)
A plane-wave DFT calculation with GGA-PBE was carried out for crystalline La2CdAs2 at its relaxed geometry.

Computed properties:
The formation enthalpy at 0 K is -752 meV/atom. As for the crystal system: tetragonal. The calculated total energy is -4.77 eV/atom.

Geometry as CIF:
```
data_La2CdAs2
_chemical_formula_sum 'La4 Cd2 As4'
_space_group_name_H-M_alt 'I 4/m m m'
_space_group_IT_number 139
_space_group_name_Hall '-I 4 2'
_cell_length_a 5.997
_cell_length_b 5.997
_cell_length_c 8.846
_cell_angle_alpha 90.00
_cell_angle_beta 90.00
_cell_angle_gamma 90.00
loop_
_atom_site_label
_atom_site_fract_x
_atom_site_fract_y
_atom_site_fract_z
La1 0.000 0.500 0.250
Cd1 0.000 0.000 0.000
As1 0.000 0.000 0.299
```

---

(3)
A plane-wave DFT calculation with GGA-PBE was carried out for crystalline LaCd3As at its relaxed geometry.

Computed properties:
The formation enthalpy at 0 K is 1022 meV/atom. As for the crystal system: cubic. The distance to the lowest polymorph of the same formula comes out at 0.875 eV/atom. The calculated total energy is -1.44 eV/atom.

Geometry as CIF:
```
data_LaCd3As
_chemical_formula_sum 'La1 Cd3 As1'
_space_group_name_H-M_alt 'P m -3 m'
_space_group_IT_number 221
_space_group_name_Hall '-P 4 2 3'
_cell_length_a 6.123
_cell_length_b 6.123
_cell_length_c 6.123
_cell_angle_alpha 90.00
_cell_angle_beta 90.00
_cell_angle_gamma 90.00
loop_
_atom_site_label
_atom_site_fract_x
_atom_site_fract_y
_atom_site_fract_z
La1 0.000 0.000 0.000
Cd1 0.000 0.000 0.500
As1 0.500 0.500 0.500
```

---

(4)
A plane-wave DFT calculation with GGA-PBE was carried out for crystalline La2Cd2As at its relaxed geometry.

Computed properties:
The formation enthalpy at 0 K is -530 meV/atom. As for the crystal system: tetragonal. The distance to the lowest polymorph of the same formula comes out at 0.000 eV/atom. The calculated total energy is -3.80 eV/atom.

Geometry as CIF:
```
data_La2Cd2As
_chemical_formula_sum 'La4 Cd4 As2'
_space_group_name_H-M_alt 'I 4/m m m'
_space_group_IT_number 139
_space_group_name_Hall '-I 4 2'
_cell_length_a 3.967
_cell_length_b 3.967
_cell_length_c 18.291
_cell_angle_alpha 90.00
_cell_angle_beta 90.00
_cell_angle_gamma 90.00
loop_
_atom_site_label
_atom_site_fract_x
_atom_site_fract_y
_atom_site_fract_z
La1 0.000 0.000 0.089
Cd1 0.000 0.500 0.250
As1 0.000 0.000 0.500
```

---

(5)
A plane-wave DFT calculation with GGA-PBE was carried out for crystalline LaCdAs2 at its relaxed geometry.

Computed properties:
The formation enthalpy at 0 K is -639 meV/atom. As for the crystal system: monoclinic. The calculated total energy is -4.42 eV/atom.

Geometry as CIF:
```
data_LaCdAs2
_chemical_formula_sum 'La1 Cd1 As2'
_space_group_name_H-M_alt 'P 1 2/m 1'
_space_group_IT_number 10
_cell_length_a 4.139
_cell_length_b 4.037
_cell_length_c 6.524
_cell_angle_alpha 90.00
_cell_angle_beta 90.09
_cell_angle_gamma 90.00
loop_
_space_group_symop_operation_xyz
'x,y,z'
'-x,-y,-z'
'-x,y,-z'
'x,-y,z'
loop_
_atom_site_label
_atom_site_fract_x
_atom_site_fract_y
_atom_site_fract_z
La1 0.000 0.000 0.000
Cd1 0.500 0.000 0.500
As1 0.500 0.500 0.208
```

---

(6)
A plane-wave DFT calculation with GGA-PBE was carried out for crystalline La2CdAs at its relaxed geometry.

Computed properties:
The formation enthalpy at 0 K is -563 meV/atom. As for the crystal system: tetragonal. The distance to the lowest polymorph of the same formula comes out at 0.275 eV/atom. The calculated total energy is -4.42 eV/atom.

Geometry as CIF:
```
data_La2CdAs
_chemical_formula_sum 'La8 Cd4 As4'
_space_group_name_H-M_alt 'I -4 2 d'
_space_group_IT_number 122
_space_group_name_Hall 'I -4 2bw'
_cell_length_a 8.334
_cell_length_b 8.334
_cell_length_c 7.405
_cell_angle_alpha 90.00
_cell_angle_beta 90.00
_cell_angle_gamma 90.00
loop_
_atom_site_label
_atom_site_fract_x
_atom_site_fract_y
_atom_site_fract_z
La1 0.223 0.750 0.125
Cd1 0.000 0.000 0.500
As1 0.000 0.000 0.000
```

---

(7)
A plane-wave DFT calculation with GGA-PBE was carried out for crystalline La2CdAs at its relaxed geometry.

Computed properties:
The formation enthalpy at 0 K is -664 meV/atom. As for the crystal system: cubic. The distance to the lowest polymorph of the same formula comes out at 0.174 eV/atom. The calculated total energy is -4.52 eV/atom.

Geometry as CIF:
```
data_La2CdAs
_chemical_formula_sum 'La8 Cd4 As4'
_space_group_name_H-M_alt 'F m -3 m'
_space_group_IT_number 225
_space_group_name_Hall '-F 4 2 3'
_cell_length_a 7.626
_cell_length_b 7.626
_cell_length_c 7.626
_cell_angle_alpha 90.00
_cell_angle_beta 90.00
_cell_angle_gamma 90.00
loop_
_atom_site_label
_atom_site_fract_x
_atom_site_fract_y
_atom_site_fract_z
La1 0.250 0.250 0.250
Cd1 0.000 0.000 0.000
As1 0.000 0.000 0.500
```

---

(8)
A plane-wave DFT calculation with GGA-PBE was carried out for crystalline La2CdAs at its relaxed geometry.

Computed properties:
The formation enthalpy at 0 K is -820 meV/atom. As for the crystal system: trigonal. The distance to the lowest polymorph of the same formula comes out at 0.018 eV/atom. The calculated total energy is -4.67 eV/atom.

Geometry as CIF:
```
data_La2CdAs
_chemical_formula_sum 'La6 Cd3 As3'
_space_group_name_H-M_alt 'R 3 m'
_space_group_IT_number 160
_space_group_name_Hall 'R 3 -2"'
_cell_length_a 4.2537
_cell_length_b 4.2537
_cell_length_c 24.6681
_cell_angle_alpha 90.00
_cell_angle_beta 90.00
_cell_angle_gamma 120.00
loop_
_atom_site_label
_atom_site_fract_x
_atom_site_fract_y
_atom_site_fract_z
La1 0.0000 0.0000 0.0000
La2 0.0000 0.0000 0.1928
Cd1 0.0000 0.0000 0.4295
As1 0.0000 0.0000 0.5965
```

---

| no. | V (Å³/atom) |
| --- | --- |
| 1 | 27.9 |
| 2 | 31.8 |
| 3 | 45.9 |
| 4 | 28.8 |
| 5 | 27.3 |
| 6 | 32.1 |
| 7 | 27.7 |
| 8 | 32.2 |